Entry from Alexandria via LeMat-Bulk: crystalline SrReP2Cl at its relaxed geometry (PBE).

Values from the calculation:
E_form (uncorrected), eV/atom: -0.43
Space-group type: No. 123
Calculated density, g cm⁻³: 5.449
Calculated total energy, eV/cell: -29.0
Total magnetic moment, μB/f.u.: 0.000

POSCAR file:
```
SrReP2Cl
1.0
4.6006 0.0000 0.0000
0.0000 4.6006 0.0000
0.0000 0.0000 5.3449
Sr Re P Cl
1 1 2 1
Direct
0.0000 0.0000 0.0000
0.5000 0.5000 0.5000
0.0000 0.5000 0.5000
0.5000 0.0000 0.5000
0.5000 0.5000 0.0000
```